# CaNd2NiO5

Crystalline CaNd2NiO5 at its relaxed geometry (GGA+U, the Alexandria database).

a = 5.6495 Å, b = 6.6363 Å, c = 6.6363 Å
α = 90.00°, β = 90.00°, γ = 90.00°
With the nearest neighbours (Å) after each atom.
Element x y z (fractional)
1 Ca 0.0000 0.5000 0.5000  10 O 2.82-2.88
2 Ca 0.0000 0.0000 0.0000  10 O 2.82-2.88
3 Nd 0.5000 0.6724 0.1724  8 O 2.31-2.58
4 Nd 0.5000 0.1724 0.3276  8 O 2.31-2.58
5 Nd 0.5000 0.8276 0.6724  8 O 2.31-2.58
6 Nd 0.5000 0.3276 0.8276  8 O 2.31-2.58
7 Ni 0.0000 0.0000 0.5000  4 O 1.86
8 Ni 0.0000 0.5000 0.0000  4 O 1.86
9 O 0.5000 0.5000 0.5000  4 Nd 2.46
10 O 0.5000 0.0000 0.0000  4 Nd 2.46
11 O 0.2329 0.1406 0.6406  1 Ni 1.86
12 O 0.2329 0.8594 0.3594  1 Ni 1.86
13 O 0.2329 0.3594 0.1406  1 Ni 1.86
14 O 0.2329 0.6406 0.8594  1 Ni 1.86
15 O 0.7671 0.1406 0.6406  1 Ni 1.86
16 O 0.7671 0.6406 0.8594  1 Ni 1.86
17 O 0.7671 0.8594 0.3594  1 Ni 1.86
18 O 0.7671 0.3594 0.1406  1 Ni 1.86

Computed properties:
Calculated volume (Å³/atom): 13.8
Density of states at the Fermi level (states/eV/cell): 0.00
VASP energy (Ha/atom): -0.25343